Here is an optimized crystal structure of TaBe2In from the Alexandria database. Energies are from PBE.

Calculated values
Its energy of formation from the pure elements is 0.32 eV per atom. The value obtained for the magnetization is 0.000 μB per atom. As for the density: 9.0 g cm⁻³.

Structure (extended XYZ):
```
4
Lattice="4.9589 0.0008 0.0109 4.1608 2.6980 0.0109 1.4079 0.4166 4.3351" Properties=species:S:1:pos:R:3 pbc="T T T"
In 5.1764 1.5319 2.4057
Be 7.6070 2.2512 3.1837
Be 0.2935 0.0869 0.1445
Ta 2.7145 0.8033 0.8016
```